Computed, not measured: a relaxed structure of BeAlTe at the PBE level of DFT.

Values from the calculation:
Volume: 23.9 Å³/atom
Energy relative to the elements, uncorrected: -0.010 eV per atom
E_tot: -0.261 Ry/atom
Distance to the lowest polymorph of the same formula: 0.027 eV per atom
Crystal system: triclinic

```
6
Lattice="4.0467 0.0000 0.0000 2.0178 3.6381 0.0000 0.1004 0.4178 9.7263" Properties=species:S:1:pos:R:3 pbc="T T T"
Be 0.0000 0.0000 0.0000
Be 1.9866 2.1446 1.4020
Al 2.0331 1.5977 3.6457
Al 4.0136 3.3243 1.6470
Te 2.1309 1.5779 8.8286
Te 4.0573 0.3455 4.9487
```



Computed, not measured: a relaxed structure of BeAl2Te at the PBE level of DFT.

Values from the calculation:
Volume: 19.8 Å³/atom
Energy relative to the elements, uncorrected: 0.420 eV per atom
E_tot: -0.233 Ry/atom
Distance to the lowest polymorph of the same formula: 0.322 eV per atom
Crystal system: orthorhombic

```
4
Lattice="-1.7730 2.7597 4.0379 1.7730 -2.7597 4.0379 1.7730 2.7597 -4.0379" Properties=species:S:1:pos:R:3 pbc="T T T"
Be 0.0000 0.0000 0.0000
Al 1.7730 0.0000 1.7770
Al 0.0000 0.0000 3.9470
Te 0.0000 2.7597 2.3408
```



Computed, not measured: a relaxed structure of BeAlTe at the PBE level of DFT.

Values from the calculation:
Volume: 22.8 Å³/atom
Energy relative to the elements, uncorrected: 0.126 eV per atom
E_tot: -0.251 Ry/atom
Distance to the lowest polymorph of the same formula: 0.162 eV per atom
Crystal system: triclinic

```
6
Lattice="4.0390 0.0000 0.0000 -1.0213 5.8021 0.0000 -1.2891 -1.5566 5.8501" Properties=species:S:1:pos:R:3 pbc="T T T"
Be 0.0000 0.0000 0.0000
Be -0.0484 1.5898 1.6218
Al 1.9356 0.3998 1.5612
Al 1.9814 2.9293 2.0568
Te -0.6725 -0.6726 3.5587
Te -0.1141 2.5923 5.5993
```



Computed, not measured: a relaxed structure of BeAlTe at the PBE level of DFT.

Values from the calculation:
Volume: 20.9 Å³/atom
Energy relative to the elements, uncorrected: 0.473 eV per atom
E_tot: -0.225 Ry/atom
Distance to the lowest polymorph of the same formula: 0.509 eV per atom
Crystal system: cubic

```
3
Lattice="0.0000 3.1513 3.1513 3.1513 0.0000 3.1513 3.1513 3.1513 0.0000" Properties=species:S:1:pos:R:3 pbc="T T T"
Be 0.0000 0.0000 0.0000
Al 1.5757 1.5757 1.5757
Te 4.7270 4.7270 4.7270
```



Computed, not measured: a relaxed structure of Be2AlTe at the PBE level of DFT.

Values from the calculation:
Volume: 21.3 Å³/atom
Energy relative to the elements, uncorrected: 0.487 eV per atom
E_tot: -0.228 Ry/atom
Distance to the lowest polymorph of the same formula: 0.275 eV per atom
Crystal system: tetragonal

```
8
Lattice="-2.9690 2.9690 4.8325 2.9690 -2.9690 4.8325 2.9690 2.9690 -4.8325" Properties=species:S:1:pos:R:3 pbc="T T T"
Be 4.4535 1.4410 -1.2081
Be 1.4410 1.4845 1.2081
Be -1.4845 1.5280 3.6244
Be 1.5280 1.4845 6.0407
Al 2.9690 0.0000 2.4163
Al 0.0000 0.0000 4.8325
Te 0.0000 0.0000 0.0000
Te 0.0000 2.9690 2.4163
```



Computed, not measured: a relaxed structure of BeAl2Te at the PBE level of DFT.

Values from the calculation:
Volume: 18.4 Å³/atom
Energy relative to the elements, uncorrected: 0.540 eV per atom
E_tot: -0.224 Ry/atom
Distance to the lowest polymorph of the same formula: 0.441 eV per atom
Crystal system: cubic

```
4
Lattice="0.0000 3.3250 3.3250 3.3250 0.0000 3.3250 3.3250 3.3250 0.0000" Properties=species:S:1:pos:R:3 pbc="T T T"
Be 0.0000 0.0000 0.0000
Al 3.3250 3.3250 3.3250
Al 4.9875 4.9875 4.9875
Te 1.6625 1.6625 1.6625
```



Computed, not measured: a relaxed structure of Be2AlTe at the PBE level of DFT.

Values from the calculation:
Volume: 16.0 Å³/atom
Energy relative to the elements, uncorrected: 0.727 eV per atom
E_tot: -0.210 Ry/atom
Distance to the lowest polymorph of the same formula: 0.516 eV per atom
Crystal system: cubic

```
4
Lattice="0.0000 3.1762 3.1762 3.1762 0.0000 3.1762 3.1762 3.1762 0.0000" Properties=species:S:1:pos:R:3 pbc="T T T"
Be 1.5881 1.5881 1.5881
Be 4.7643 4.7643 4.7643
Al 0.0000 0.0000 0.0000
Te 3.1762 3.1762 3.1762
```



Computed, not measured: a relaxed structure of BeAl2Te at the PBE level of DFT.

Values from the calculation:
Volume: 19.4 Å³/atom
Energy relative to the elements, uncorrected: 0.424 eV per atom
E_tot: -0.233 Ry/atom
Distance to the lowest polymorph of the same formula: 0.325 eV per atom
Crystal system: orthorhombic

```
4
Lattice="3.7169 0.0000 0.0000 0.0000 3.8075 0.0000 0.0000 0.0000 5.4771" Properties=species:S:1:pos:R:3 pbc="T T T"
Be 0.0000 0.0000 0.0000
Al 0.0000 1.9038 2.7386
Al 1.8584 0.0000 2.7386
Te 1.8584 1.9038 0.0000
```